# 1
This record from the Open Quantum Materials Database describes an optimized crystal structure of TbPrPI2. The functional is PBE.

Space group = P3m1, No. 156
VASP energy = -5.11 eV per atom

Cell and atoms, written as POSCAR:
```
TbPrPI2
1.0
4.201 0.000 0.000
-2.101 3.638 0.000
0.000 0.000 11.172
I P Pr Tb
2 1 1 1
Cartesian
2.101 1.213 3.578
0.000 2.426 7.479
0.000 0.000 0.103
2.101 1.213 9.638
0.000 2.426 1.547
```

=====

# 2
This record from the Open Quantum Materials Database describes an optimized crystal structure of PrYPI2. The functional is PBE.

Space group = P3m1, No. 156
VASP energy = -5.48 eV per atom

Cell and atoms, written as POSCAR:
```
PrYPI2
1.0
4.189 0.000 0.000
-2.095 3.628 0.000
0.000 0.000 11.041
I P Pr Y
2 1 1 1
Cartesian
2.095 1.209 3.687
0.000 0.000 7.473
0.000 2.419 10.935
0.000 0.000 1.530
2.095 1.209 9.499
```

=====

# 3
This record from the Open Quantum Materials Database describes an optimized crystal structure of Zn2SnP4I. The functional is PBE.

Space group = I-4, No. 82
VASP energy = -3.69 eV per atom

Cell and atoms, written as POSCAR:
```
Zn2SnP4I
1.0
-2.814 2.814 6.506
2.814 -2.814 6.506
2.814 2.814 -6.506
I P Sn Zn
1 4 1 2
Cartesian
0.000 0.000 0.000
-0.696 0.857 4.407
0.857 0.696 8.605
1.957 2.118 2.099
3.511 1.957 -2.099
2.814 0.000 3.253
0.000 0.000 6.506
0.000 2.814 3.253
```

=====

Which value of VASP energy does entry 2 give?
-5.48 eV per atom

=====

Number 1 is which compound?
TbPrPI2

=====

Among the records above, which one has the highest VASP energy?
Zn2SnP4I

=====

Among the records above, which one has the highest VASP energy?
Zn2SnP4I